Model P:
Compound: ScCrIr2
Source: Alexandria
Functional: meta-GGA SCAN
Structure: PBEsol geometry

Space-group type ... No. 225
DOS at the Fermi energy ... 0.956 states/eV/atom

abc: 4.3818 4.3818 4.3818
angles: 60.00 60.00 60.00
Last column: nearest neighbours and their distance in Å.
Positions (direct):
Ir: 0.7500 0.7500 0.7500  4 Cr 2.68, 4 Sc 2.68
Ir: 0.2500 0.2500 0.2500  4 Cr 2.68, 4 Sc 2.68
Sc: 0.5000 0.5000 0.5000  8 Ir 2.68
Cr: 0.0000 0.0000 0.0000  8 Ir 2.68

Model Q:
Compound: ScCrIr2
Source: Alexandria
Functional: meta-GGA SCAN
Structure: PBEsol geometry

Space-group type ... No. 216
DOS at the Fermi energy ... 1.435 states/eV/atom

abc: 4.3493 4.3493 4.3493
angles: 60.00 60.00 60.00
Last column: nearest neighbours and their distance in Å.
Positions (direct):
Ir: 0.0000 0.0000 0.0000  4 Ir 2.66, 4 Sc 2.66
Ir: 0.2500 0.2500 0.2500  4 Cr 2.66, 4 Ir 2.66
Sc: 0.7500 0.7500 0.7500  4 Cr 2.66, 4 Ir 2.66
Cr: 0.5000 0.5000 0.5000  4 Sc 2.66, 4 Ir 2.66

Model R:
Compound: ScCrIr2
Source: Alexandria
Functional: meta-GGA SCAN
Structure: PBEsol geometry

Space-group type ... No. 123
DOS at the Fermi energy ... 0.662 states/eV/atom

abc: 3.5019 4.1036 4.1036
angles: 90.00 90.00 90.00
Last column: nearest neighbours and their distance in Å.
Positions (direct):
Sc: 0.5000 0.5000 0.5000  8 Ir 2.70, 4 Cr 2.90
Ir: 0.0000 0.5000 0.0000  4 Cr 2.70, 4 Sc 2.70, 4 Ir 2.90
Ir: 0.0000 0.0000 0.5000  4 Cr 2.70, 4 Sc 2.70, 4 Ir 2.90
Cr: 0.5000 0.0000 0.0000  8 Ir 2.70, 4 Sc 2.90

Verdict on stability: model Q comes out at the bottom.

Model P:
Compound: CrIrSe2
Source: Alexandria
Functional: meta-GGA SCAN
Structure: PBEsol geometry

Space-group type ... No. 44
DOS at the Fermi energy ... 0.503 states/eV/atom

abc: 2.9765 4.4827 5.4717
angles: 114.18 105.78 90.00
Last column: nearest neighbours and their distance in Å.
Positions (direct):
Ir: 0.7409 0.2409 0.4818  6 Se 2.56-2.69
Se: 0.0220 0.0220 0.0439  2 Ir 2.56, 4 Cr 2.70
Se: 0.2346 0.7346 0.4693  2 Cr 2.67, 4 Ir 2.69, 2 Se 2.98
Cr: 0.5025 0.5025 0.0049  6 Se 2.67-2.70, 2 Ir 2.90, 2 Cr 2.98

Model Q:
Compound: CrIrSe2
Source: Alexandria
Functional: meta-GGA SCAN
Structure: PBEsol geometry

Space-group type ... No. 99
DOS at the Fermi energy ... 0.513 states/eV/atom

abc: 3.3965 3.3952 5.9612
angles: 90.00 90.00 90.00
Last column: nearest neighbours and their distance in Å.
Positions (direct):
Ir: 0.5000 0.5000 0.7559  5 Se 2.45-2.56
Se: 0.5000 0.5000 0.3450  1 Ir 2.45, 4 Cr 2.56
Se: 0.0000 0.0000 0.9045  1 Cr 2.44, 4 Ir 2.56
Cr: 0.0000 0.0000 0.4946  5 Se 2.44-2.56

Model R:
Compound: CrIrSe2
Source: Alexandria
Functional: meta-GGA SCAN
Structure: PBEsol geometry

Space-group type ... No. 69
DOS at the Fermi energy ... 0.456 states/eV/atom

abc: 4.4114 4.4114 4.5843
angles: 111.99 111.99 102.81
Last column: nearest neighbours and their distance in Å.
Positions (direct):
Se: 0.0000 0.5000 0.5000  2 Ir 2.52, 2 Cr 2.52, 2 Se 2.75
Se: 0.5000 0.0000 0.5000  2 Cr 2.52, 2 Ir 2.52, 2 Se 2.75
Cr: 0.5000 0.5000 0.0000  4 Se 2.52, 2 Ir 2.75
Ir: 0.0000 0.0000 0.0000  4 Se 2.52, 2 Cr 2.75

Verdict on stability: model P comes out at the bottom.

Model P:
Compound: TaCr2Ir
Source: Alexandria
Functional: meta-GGA SCAN
Structure: PBEsol geometry

Space-group type ... No. 123
DOS at the Fermi energy ... 0.778 states/eV/atom

abc: 3.0080 3.0080 6.0131
angles: 90.00 90.00 90.00
Last column: nearest neighbours and their distance in Å.
Positions (direct):
Cr: 0.0000 0.0000 0.7479  4 Ta 2.60, 4 Ir 2.61
Cr: 0.0000 0.0000 0.2521  4 Ta 2.60, 4 Ir 2.61
Ta: 0.5000 0.5000 0.5000  8 Cr 2.60
Ir: 0.5000 0.5000 0.0000  8 Cr 2.61

Model Q:
Compound: TaCr2Ir
Source: Alexandria
Functional: meta-GGA SCAN
Structure: PBEsol geometry

Space-group type ... No. 71
DOS at the Fermi energy ... 0.988 states/eV/atom

abc: 3.1887 4.1435 4.9126
angles: 114.94 108.94 90.00
Last column: nearest neighbours and their distance in Å.
Positions (direct):
Cr: 0.7432 0.7432 0.4865  2 Ta 2.58, 4 Cr 2.62, 2 Ir 2.67
Cr: 0.2568 0.2568 0.5135  2 Ta 2.58, 4 Cr 2.62, 2 Ir 2.67
Ir: 0.5000 0.0000 0.0000  4 Ta 2.61, 8 Cr 2.67-2.90
Ta: 0.0000 0.5000 0.0000  4 Cr 2.58, 4 Ir 2.61

Verdict on stability: model P comes out at the bottom.